1.
Compound: Na2TlHgPd
Source: Alexandria
Functional: PBE
Structure: relaxed

Lattice parameters (Å, degrees): 5.4506 5.4506 5.2717 90.00 90.00 90.00
With the nearest neighbours (Å) after each atom.
Sites, in units of the cell vectors:
Na  0.0000  0.5000  0.0000  2 Pd 2.73
Na  0.5000  0.0000  0.0000  2 Pd 2.73
Tl  0.0000  0.0000  0.5000  2 Pd 2.64
Hg  0.5000  0.5000  0.5000  8 Na 3.79, 4 Tl 3.85
Pd  0.0000  0.0000  0.0000  2 Tl 2.64, 4 Na 2.73

Properties
Distance to the lowest polymorph of the same formula in eV per formula unit: 0.40


2.
Compound: NaTlHgPd
Source: Alexandria
Functional: PBE
Structure: relaxed

Lattice parameters (Å, degrees): 6.9773 6.9773 6.9773 90.00 90.00 90.00
With the nearest neighbours (Å) after each atom.
Sites, in units of the cell vectors:
Na  0.0000  0.0000  0.0000  4 Hg 3.02, 4 Tl 3.02
Na  0.0000  0.5000  0.5000  4 Hg 3.02, 4 Tl 3.02
Na  0.5000  0.0000  0.5000  4 Hg 3.02, 4 Tl 3.02
Na  0.5000  0.5000  0.0000  4 Hg 3.02, 4 Tl 3.02
Tl  0.2500  0.2500  0.2500  4 Na 3.02, 4 Pd 3.02
Tl  0.2500  0.7500  0.7500  4 Na 3.02, 4 Pd 3.02
Tl  0.7500  0.2500  0.7500  4 Na 3.02, 4 Pd 3.02
Tl  0.7500  0.7500  0.2500  4 Na 3.02, 4 Pd 3.02
Hg  0.2500  0.2500  0.7500  4 Pd 3.02, 4 Na 3.02
Hg  0.2500  0.7500  0.2500  4 Pd 3.02, 4 Na 3.02
Hg  0.7500  0.2500  0.2500  4 Pd 3.02, 4 Na 3.02
Hg  0.7500  0.7500  0.7500  4 Pd 3.02, 4 Na 3.02
Pd  0.0000  0.0000  0.5000  4 Tl 3.02, 4 Hg 3.02
Pd  0.0000  0.5000  0.0000  4 Tl 3.02, 4 Hg 3.02
Pd  0.5000  0.0000  0.0000  4 Tl 3.02, 4 Hg 3.02
Pd  0.5000  0.5000  0.5000  4 Tl 3.02, 4 Hg 3.02

Properties
Distance to the lowest polymorph of the same formula in eV per formula unit: 0.00


3.
Compound: Na2Tl2HgPd5
Source: Alexandria
Functional: PBE
Structure: relaxed

Lattice parameters (Å, degrees): 9.9127 9.9127 4.0837 90.00 90.00 90.00
With the nearest neighbours (Å) after each atom.
Sites, in units of the cell vectors:
Na  0.1690  0.3310  0.0000  3 Tl 2.80-3.00, 2 Pd 3.13
Na  0.3310  0.8310  0.0000  3 Tl 2.80-3.00, 2 Pd 3.13
Na  0.6690  0.1690  0.0000  3 Tl 2.80-3.00, 2 Pd 3.13
Na  0.8310  0.6690  0.0000  3 Tl 2.80-3.00, 2 Pd 3.13
Tl  0.1312  0.6312  0.0000  6 Pd 2.75-2.76, 3 Na 2.80-3.00
Tl  0.3688  0.1312  0.0000  6 Pd 2.75-2.76, 3 Na 2.80-3.00
Tl  0.6312  0.8688  0.0000  6 Pd 2.75-2.76, 3 Na 2.80-3.00
Tl  0.8688  0.3688  0.0000  6 Pd 2.75-2.76, 3 Na 2.80-3.00
Hg  0.0000  0.0000  0.0000  8 Pd 2.88
Hg  0.5000  0.5000  0.0000  8 Pd 2.88
Pd  0.0000  0.5000  0.5000  4 Tl 2.75
Pd  0.0640  0.8059  0.5000  2 Tl 2.76, 2 Pd 2.86, 2 Hg 2.88
Pd  0.1941  0.0640  0.5000  2 Tl 2.76, 2 Pd 2.86, 2 Hg 2.88
Pd  0.3059  0.5640  0.5000  2 Tl 2.76, 2 Pd 2.86, 2 Hg 2.88
Pd  0.4360  0.3059  0.5000  2 Tl 2.76, 2 Pd 2.86, 2 Hg 2.88
Pd  0.5000  0.0000  0.5000  4 Tl 2.75
Pd  0.5640  0.6941  0.5000  2 Tl 2.76, 2 Pd 2.86, 2 Hg 2.88
Pd  0.6941  0.4360  0.5000  2 Tl 2.76, 2 Pd 2.86, 2 Hg 2.88
Pd  0.8059  0.9360  0.5000  2 Tl 2.76, 2 Pd 2.86, 2 Hg 2.88
Pd  0.9360  0.1941  0.5000  2 Tl 2.76, 2 Pd 2.86, 2 Hg 2.88

Properties
Final energy in eV for the cell shown: -70.3


What is the formula in the third record?
Na2Tl2HgPd5